# 1
The following is a DFT calculation (PBE+U) of crystalline YPuFe2O8 at its relaxed geometry.

Computed properties:
Theoretical density, kg/m3: 5915
E, eV/cell: -190.80

Unit cell a=6.9226 b=6.9226 c=6.7089 alpha=90.00 beta=90.00 gamma=90.00
Space group I-4m2 (No. 119)
Unique sites:
Y (0.0000, 0.0000, 0.0000)
Pu (0.0000, 0.5000, 0.7500)
Fe (0.0000, 0.0000, 0.5000)
Fe (0.0000, 0.5000, 0.2500)
O (0.0000, 0.2015, 0.6915)
O (0.0000, 0.3193, 0.0509)

# 2
The following is a DFT calculation (PBE+U) of crystalline YPuFeO6 at its relaxed geometry.

Computed properties:
Theoretical density, kg/m3: 6681
E, eV/cell: -150.50

Unit cell a=5.6314 b=5.6314 c=8.7738 alpha=90.00 beta=90.00 gamma=120.00
Space group P-31c (No. 163)
Unique sites:
Y (0.3333, 0.6667, 0.2500)
Pu (0.3333, 0.6667, 0.7500)
Fe (0.0000, 0.0000, 0.0000)
O (0.0347, 0.3562, 0.6279)

# 3
The following is a DFT calculation (PBE+U) of crystalline PuZnFeO6 at its relaxed geometry.

Computed properties:
Theoretical density, kg/m3: 7094
E, eV/cell: -131.37

Unit cell a=5.2456 b=5.2456 c=9.0610 alpha=90.00 beta=90.00 gamma=120.00
Space group P-31c (No. 163)
Unique sites:
Pu (0.3333, 0.6667, 0.2500)
Zn (0.0000, 0.0000, 0.0000)
Fe (0.3333, 0.6667, 0.7500)
O (0.0049, 0.3447, 0.1319)

# 4
The following is a DFT calculation (PBE+U) of crystalline Rb3Fe2O4 at its relaxed geometry.

Computed properties:
Theoretical density, kg/m3: 4153
E, eV/cell: -184.52

Unit cell a=12.6253 b=9.0888 c=6.0253 alpha=90.00 beta=91.77 gamma=90.00
Space group C2/c (No. 15)
Unique sites:
Rb (0.0000, 0.0945, 0.2500)
Rb (0.1154, 0.3577, 0.5471)
Fe (0.2151, 0.1162, 0.9388)
O (0.1382, 0.3018, 0.0203)
O (0.1852, 0.0528, 0.6310)

- Which of these has the highest theoretical density?
  PuZnFeO6